The following is a DFT calculation (PBE) of a geometry-optimized Tb2Tm7Sc2 structure.

The density of states at the Fermi level comes out at 20.29 states/eV/cell. The total energy is -4.73 eV per atom. The value obtained for the energy of formation from the pure elements is 0.11 eV/atom. For the calculated volume, the calculation gives 30.1 Å³/atom.

a b c (Å): 8.3172 6.3951 6.3951
angles (deg): 92.28 80.97 80.97
Element x y z (fractional)
Tb  0.5000  0.3190  0.6810
Tb  0.5000  0.6810  0.3190
Tm  0.1954  0.0914  0.4601
Tm  0.8046  0.5399  0.9086
Tm  0.8046  0.9086  0.5399
Tm  0.1954  0.4601  0.0914
Tm  0.0000  0.0000  0.0000
Tm  0.4122  0.8415  0.8415
Tm  0.5878  0.1585  0.1585
Sc  0.8498  0.3942  0.3942
Sc  0.1502  0.6058  0.6058

=====

The following is a DFT calculation (PBE) of a geometry-optimized La2TbHoBi4 structure.

The density of states at the Fermi level comes out at 1.14 states/eV/cell. The total energy is -5.28 eV per atom. The value obtained for the energy of formation from the pure elements is -0.95 eV/atom. For the calculated volume, the calculation gives 34.3 Å³/atom.

a b c (Å): 4.6020 7.9646 7.9347
angles (deg): 109.55 90.00 90.00
Element x y z (fractional)
La  0.5000  0.0000  0.5000
La  0.0000  0.5000  0.5000
Tb  0.0000  0.0000  0.0000
Ho  0.5000  0.5000  0.0000
Bi  0.5000  0.2468  0.2375
Bi  0.5000  0.7532  0.7625
Bi  0.0000  0.2553  0.7631
Bi  0.0000  0.7447  0.2369

=====

The following is a DFT calculation (PBE) of a geometry-optimized ScRhN2O structure.

The value obtained for the formation energy without anion corrections is -14 meV/atom. The density of states at the Fermi level comes out at 3.94 states/eV/cell. The total energy is -7.07 eV per atom. For the calculated volume, the calculation gives 11.7 Å³/atom.

a b c (Å): 3.8148 3.8148 4.0334
angles (deg): 90.00 90.00 90.00
Element x y z (fractional)
Sc  0.5000  0.5000  0.5000
Rh  0.0000  0.0000  0.0000
O  0.0000  0.0000  0.5000
N  0.0000  0.5000  0.0000
N  0.5000  0.0000  0.0000

=====

The following is a DFT calculation (PBE) of a geometry-optimized Er7Hg2Pd2 structure.

The density of states at the Fermi level comes out at 11.12 states/eV/cell. The total energy is -4.25 eV per atom. The value obtained for the energy of formation from the pure elements is -0.35 eV/atom. For the calculated volume, the calculation gives 28.0 Å³/atom.

a b c (Å): 6.7484 7.0944 6.7484
angles (deg): 90.00 107.80 90.00
Element x y z (fractional)
Er  0.9998  0.2576  0.5003
Er  0.5003  0.7424  0.9998
Er  0.0002  0.7424  0.4997
Er  0.4997  0.2576  0.0002
Er  0.0000  0.0000  0.0000
Er  0.5002  0.7499  0.4998
Er  0.4998  0.2501  0.5002
Hg  0.8165  0.5000  0.8165
Hg  0.1835  0.5000  0.1835
Pd  0.7097  0.0000  0.2903
Pd  0.2903  0.0000  0.7097

=====

The following is a DFT calculation (PBE) of a geometry-optimized PmTiAl2 structure.

The density of states at the Fermi level comes out at 3.57 states/eV/cell. The total energy is -5.20 eV per atom. The value obtained for the energy of formation from the pure elements is -0.16 eV/atom. For the calculated volume, the calculation gives 20.9 Å³/atom.

a b c (Å): 4.3098 4.4094 4.4094
angles (deg): 90.00 90.00 90.00
Element x y z (fractional)
Ti  0.5000  0.0000  0.0000
Al  0.0000  0.0000  0.5000
Al  0.0000  0.5000  0.0000
Pm  0.5000  0.5000  0.5000

=====

The following is a DFT calculation (PBE) of a geometry-optimized Rb3Pu3HgS8 structure.

The value obtained for the formation energy without anion corrections is -1221 meV/atom. The density of states at the Fermi level comes out at 30.22 states/eV/cell. The total energy is -6.50 eV per atom. For the calculated volume, the calculation gives 29.6 Å³/atom.

a b c (Å): 8.4209 8.0494 8.8723
angles (deg): 115.16 90.00 121.54
Element x y z (fractional)
Rb  0.0000  0.0000  0.0000
Rb  0.0000  0.5000  0.0000
Rb  0.5000  0.5000  0.0000
Pu  0.5000  0.0000  0.5000
Pu  0.5000  0.5000  0.5000
Pu  0.0000  0.5000  0.5000
Hg  0.0000  0.0000  0.5000
S  0.2674  0.5349  0.3100
S  0.7326  0.4651  0.6900
S  0.7895  0.5790  0.3273
S  0.2105  0.4210  0.6727
S  0.7454  0.0551  0.2999
S  0.2546  0.9449  0.7001
S  0.3097  0.0551  0.2999
S  0.6903  0.9449  0.7001

=====

The following is a DFT calculation (PBE) of a geometry-optimized Pu4Pd2N structure.

The value obtained for the formation energy without anion corrections is -444 meV/atom. The density of states at the Fermi level comes out at 34.10 states/eV/cell. The total energy is -11.31 eV per atom. For the calculated volume, the calculation gives 22.9 Å³/atom.

a b c (Å): 4.6114 4.6114 8.2135
angles (deg): 106.30 106.30 90.00
Element x y z (fractional)
N  0.0000  0.0000  0.0000
Pd  0.6356  0.6356  0.2713
Pd  0.3644  0.3644  0.7287
Pu  0.8241  0.8241  0.6482
Pu  0.1759  0.1759  0.3518
Pu  0.0000  0.5000  0.0000
Pu  0.5000  0.0000  0.0000

=====

The following is a DFT calculation (PBE) of a geometry-optimized SmHfHg structure.

The density of states at the Fermi level comes out at 1.61 states/eV/cell. The total energy is -5.11 eV per atom. The value obtained for the energy of formation from the pure elements is -0.12 eV/atom. For the calculated volume, the calculation gives 25.3 Å³/atom.

a b c (Å): 3.4345 3.4345 6.8661
angles (deg): 104.48 104.48 90.00
Element x y z (fractional)
Hf  0.6786  0.6786  0.3571
Hg  0.3201  0.3201  0.6402
Sm  0.0013  0.0013  0.0026

=====

Which of these has the highest calculated volume?
La2TbHoBi4

=====

Among the records above, which one has the lowest calculated volume?
ScRhN2O

=====

What is the calculated volume in the seventh record?
22.9 Å³/atom